The following is a DFT calculation (PBE-GGA) of a relaxed structure of Ac2ScV.

Output
The total magnetization comes out at 3.48 Bohr magnetons per cell. The density is 6.8 g cm⁻³. The calculation puts the formation energy from the elements at 805 meV per atom.

Lattice parameters (Å, degrees): 3.6179 3.6179 11.9712 81.31 81.31 60.00
Last column: magnetic moment on the atom in μB.
Fractional coordinates of all 4 atoms:
Sc: 0.5000 0.5000 0.5000  -0.06
V: 0.0000 0.0000 0.0000  2.85
Ac: 0.0853 0.0853 0.7441  0.03
Ac: 0.9147 0.9147 0.2559  0.03